# 1
The following is a DFT calculation (PBE) of a relaxed Na3LiI4 crystal.

Geometry as POSCAR:
```
Na3LiI4
1.0
4.514 -0.056 0.077
0.057 7.537 2.188
-0.128 0.425 7.836
Li I Na
1 4 3
direct
0.500 0.500 0.000 Li
0.500 0.257 0.757 I
0.000 0.263 0.237 I
0.000 0.737 0.763 I
0.500 0.743 0.243 I
0.000 0.000 0.000 Na
0.000 0.500 0.500 Na
0.500 0.000 0.500 Na
```

Results
energy above the most stable polymorph in this dataset: 0 meV/atom
final energy: -21.9 eV per formula unit
raw formation energy: -1.229 eV/atom
spin magnetization: 0.000 μB/cell

***

# 2
The following is a DFT calculation (PBE) of a relaxed KRb2Na6Tl crystal.

Geometry as POSCAR:
```
KRb2Na6Tl
1.0
9.318 0.000 0.000
0.001 9.318 0.000
4.659 4.659 6.589
Na Rb K Tl
6 2 1 1
direct
0.273 0.273 0.455 Na
0.727 0.727 0.545 Na
0.273 0.727 0.000 Na
0.727 0.727 0.000 Na
0.727 0.273 0.000 Na
0.273 0.273 0.000 Na
0.250 0.750 0.500 Rb
0.750 0.250 0.500 Rb
0.000 0.000 0.000 K
0.500 0.500 0.000 Tl
```

Results
final energy: -12.3 eV per formula unit
formation energy: 0.099 eV/atom
spin magnetization: 0.000 μB/cell

***

# 3
The following is a DFT calculation (PBE) of a relaxed PaNbZn2O8 crystal.

Geometry as POSCAR:
```
PaNbZn2O8
1.0
4.814 -0.109 -0.003
-0.084 4.815 -0.005
0.004 0.007 6.562
O Zn Nb Pa
8 2 1 1
direct
0.189 0.811 0.765 O
0.299 0.299 0.000 O
0.686 0.686 0.500 O
0.314 0.314 0.500 O
0.701 0.701 0.000 O
0.811 0.189 0.765 O
0.189 0.811 0.235 O
0.811 0.189 0.235 O
0.500 0.500 0.237 Zn
0.500 0.500 0.763 Zn
0.000 0.000 0.000 Nb
0.000 0.000 0.500 Pa
```

Results
final energy: -86.4 eV per formula unit
raw formation energy: -2.048 eV/atom
spin magnetization: 0.008 μB/cell